VASP calculation (PBE) on V3ReB4 after structural relaxation.

abc: 2.992 3.070 8.123
angles: 90.00 90.00 90.00
Space group Pmm2 (No. 25)
Inequivalent atoms, fractional coordinates:
V (0.000, 0.000, 0.000) (multiplicity 1)
V (0.000, 0.500, 0.492) (multiplicity 1)
V (0.500, 0.000, 0.285) (multiplicity 1)
Re (0.500, 0.500, 0.790) (multiplicity 1)
B (0.000, 0.000, 0.695) (multiplicity 1)
B (0.000, 0.500, 0.205) (multiplicity 1)
B (0.500, 0.000, 0.569) (multiplicity 1)
B (0.500, 0.500, 0.081) (multiplicity 1)

Results
The calculation puts the formation energy from the elements at -0.715 eV per atom. As for the crystal system: orthorhombic.

=====

VASP calculation (PBE) on Rb3ZrTa2O9 after structural relaxation.

abc: 5.8548 5.8548 7.1755
angles: 90.00 90.00 120.00
Space group P-3m1 (No. 164)
Inequivalent atoms, fractional coordinates:
Rb (0.0000, 0.0000, 0.0000) (multiplicity 1)
Rb (0.3333, 0.6667, 0.6668) (multiplicity 2)
Zr (0.0000, 0.0000, 0.5000) (multiplicity 1)
Ta (0.3333, 0.6667, 0.1673) (multiplicity 2)
O (0.0000, 0.5000, 0.0000) (multiplicity 3)
O (0.1722, 0.3444, 0.3251) (multiplicity 6)

Results
As for the crystal system: trigonal. The raw formation energy comes out at -2.51 eV/atom.